[1]
First-principles (PBE) data for crystalline Cd2In4Pb at its relaxed geometry, as listed in the Alexandria database.

Summary:
E_form, eV per formula unit: 0.9
Energy above the lowest structure with this stoichiometry, meV/atom: 64.8

Cell and atoms, written as CIF:
```
data_Cd2In4Pb
_cell_length_a 4.172
_cell_length_b 4.172
_cell_length_c 22.907
_cell_angle_alpha 90.00
_cell_angle_beta 90.00
_cell_angle_gamma 90.00
_symmetry_space_group_name_H-M 'I 4/m m m'
_symmetry_Int_Tables_number 139
_symmetry_space_group_name_Hall '-I 4 2'
loop_
_atom_site_label
_atom_site_type_symbol
_atom_site_fract_x
_atom_site_fract_y
_atom_site_fract_z
Cd1 Cd 0.000 0.000 0.076
In1 In 0.000 0.000 0.359
In2 In 0.000 0.500 0.250
Pb1 Pb 0.000 0.000 0.500
```

[2]
First-principles (PBE) data for crystalline Sr3Zr2ScAs6 at its relaxed geometry, as listed in the Alexandria database.

Summary:
E_form, eV per formula unit: -13.8

Cell and atoms, written as CIF:
```
data_Sr3Zr2ScAs6
_cell_length_a 7.032
_cell_length_b 12.186
_cell_length_c 7.474
_cell_angle_alpha 90.00
_cell_angle_beta 108.33
_cell_angle_gamma 90.00
_symmetry_space_group_name_H-M 'C 1 2/m 1'
_symmetry_Int_Tables_number 12
loop_
_symmetry_equiv_pos_as_xyz
'x,y,z'
'-x,-y,-z'
'-x,y,-z'
'x,-y,z'
'x+1/2,y+1/2,z'
'-x+1/2,-y+1/2,-z'
'-x+1/2,y+1/2,-z'
'x+1/2,-y+1/2,z'
loop_
_atom_site_label
_atom_site_type_symbol
_atom_site_fract_x
_atom_site_fract_y
_atom_site_fract_z
Sr1 Sr 0.000 0.000 0.000
Sr2 Sr 0.000 0.334 0.000
Zr1 Zr 0.000 0.167 0.500
Sc1 Sc 0.000 0.500 0.500
As1 As 0.235 0.000 0.712
As2 As 0.238 0.333 0.712
```

[3]
First-principles (PBE) data for crystalline CaMoRu2 at its relaxed geometry, as listed in the Alexandria database.

Summary:
E_form, eV per formula unit: 1.4
Energy above the lowest structure with this stoichiometry, meV/atom: 202.7

Cell and atoms, written as CIF:
```
data_CaMoRu2
_cell_length_a 4.588
_cell_length_b 4.588
_cell_length_c 3.134
_cell_angle_alpha 90.00
_cell_angle_beta 90.00
_cell_angle_gamma 90.00
_symmetry_space_group_name_H-M 'P 4/m m m'
_symmetry_Int_Tables_number 123
_symmetry_space_group_name_Hall '-P 4 2'
loop_
_atom_site_label
_atom_site_type_symbol
_atom_site_fract_x
_atom_site_fract_y
_atom_site_fract_z
Ca1 Ca 0.000 0.000 0.000
Mo1 Mo 0.500 0.500 0.000
Ru1 Ru 0.000 0.500 0.500
```

[4]
First-principles (PBE) data for crystalline GeSbO2 at its relaxed geometry, as listed in the Alexandria database.

Summary:
Raw formation energy, meV per atom: -669
Energy above the lowest structure with this stoichiometry, meV/atom: 140.0

Cell and atoms, written as CIF:
```
data_GeSbO2
_cell_length_a 3.3343
_cell_length_b 3.3343
_cell_length_c 20.4776
_cell_angle_alpha 90.00
_cell_angle_beta 90.00
_cell_angle_gamma 120.00
_symmetry_space_group_name_H-M 'R -3 m'
_symmetry_Int_Tables_number 166
_symmetry_space_group_name_Hall '-R 3 2"'
loop_
_atom_site_label
_atom_site_type_symbol
_atom_site_fract_x
_atom_site_fract_y
_atom_site_fract_z
Ge1 Ge 0.0000 0.0000 0.0000
Sb1 Sb 0.0000 0.0000 0.5000
O1 O 0.0000 0.0000 0.1039
```

[5]
First-principles (PBE) data for crystalline Nd3GaSn at its relaxed geometry, as listed in the Alexandria database.

Summary:
E_form, eV per formula unit: -2.4

Cell and atoms, written as CIF:
```
data_Nd3GaSn
_cell_length_a 12.137
_cell_length_b 11.402
_cell_length_c 8.899
_cell_angle_alpha 90.00
_cell_angle_beta 90.00
_cell_angle_gamma 90.00
_symmetry_space_group_name_H-M 'C 1 2/c 1'
_symmetry_Int_Tables_number 15
loop_
_symmetry_equiv_pos_as_xyz
'x,y,z'
'-x,-y,-z'
'-x,y,-z+1/2'
'x,-y,z+1/2'
'x+1/2,y+1/2,z'
'-x+1/2,-y+1/2,-z'
'-x+1/2,y+1/2,-z+1/2'
'x+1/2,-y+1/2,z+1/2'
loop_
_atom_site_label
_atom_site_type_symbol
_atom_site_fract_x
_atom_site_fract_y
_atom_site_fract_z
Nd1 Nd 0.095 0.103 0.084
Nd2 Nd 0.095 0.397 0.916
Nd3 Nd 0.250 0.179 0.665
Ga1 Ga 0.249 0.456 0.640
Sn1 Sn 0.000 0.146 0.750
Sn2 Sn 0.000 0.354 0.250
```

[6]
First-principles (PBE) data for crystalline AgAu2Br at its relaxed geometry, as listed in the Alexandria database.

Summary:
Raw formation energy, meV per atom: 309
Energy above the lowest structure with this stoichiometry, meV/atom: 275.0

Cell and atoms, written as CIF:
```
data_AgAu2Br
_cell_length_a 8.105
_cell_length_b 8.105
_cell_length_c 5.455
_cell_angle_alpha 90.00
_cell_angle_beta 90.00
_cell_angle_gamma 90.00
_symmetry_space_group_name_H-M 'I -4 2 d'
_symmetry_Int_Tables_number 122
_symmetry_space_group_name_Hall 'I -4 2bw'
loop_
_atom_site_label
_atom_site_type_symbol
_atom_site_fract_x
_atom_site_fract_y
_atom_site_fract_z
Ag1 Ag 0.000 0.000 0.000
Au1 Au 0.235 0.750 0.125
Br1 Br 0.000 0.000 0.500
```

no.,total moment (μB per formula unit),D(E_F) (states/eV/f.u.)
1,0.00,3.3
2,0.00,3.9
3,0.00,2.2
4,0.00,0.8
5,0.00,4.2
6,0.00,0.3